Mg2BiRuN: relaxed, PBE-GGA.

The structure in CIF format:
```
data_Mg2BiRuN
_cell_length_a 5.359
_cell_length_b 5.359
_cell_length_c 3.688
_cell_angle_alpha 90.00
_cell_angle_beta 90.00
_cell_angle_gamma 90.00
_space_group_name_H-M_alt 'P 4/m m m'
_space_group_IT_number 123
_space_group_name_Hall '-P 4 2'
loop_
_atom_site_label
_atom_site_fract_x
_atom_site_fract_y
_atom_site_fract_z
Mg1 0.000 0.500 0.000
Bi1 0.000 0.000 0.500
Ru1 0.500 0.500 0.000
N1 0.500 0.500 0.500
```

Properties
Raw total energy   -0.347 Ry/atom
Formation energy (no corrections)   219 meV per atom